The following is a PBE calculation of a geometry-optimized LiBrF2 structure, from Alexandria.

Unit cell a=5.7629 b=5.7629 c=5.7629 alpha=123.56 beta=123.56 gamma=83.94
With the nearest neighbours (Å) after each atom.
Positions (direct):
Li 0.0000 0.0000 0.0000  4 F 1.89
Li 0.7500 0.2500 0.5000  4 F 1.89
Br 0.2500 0.7500 0.5000  4 F 2.62
Br 0.5000 0.5000 0.0000  4 F 2.62
F 0.0135 0.6250 0.8885  2 Li 1.89
F 0.3750 0.2635 0.3885  2 Li 1.89
F 0.7365 0.1250 0.1115  2 Li 1.89
F 0.8750 0.9865 0.6115  2 Li 1.89

Output
The calculation puts the total energy at -12.6 eV per formula unit. The calculation puts the uncorrected formation energy at -1316.8 meV per atom. For the density of states at the Fermi level, the calculation gives 1.82 states/eV/cell.

---

The following is a PBE calculation of a geometry-optimized BaIn2SiSn structure, from Alexandria.

Unit cell a=5.7277 b=5.7277 c=5.3294 alpha=90.00 beta=90.00 gamma=90.00
With the nearest neighbours (Å) after each atom.
Positions (direct):
Ba 0.0000 0.0000 0.0000  8 In 3.91, 4 Si 4.05
In 0.0000 0.5000 0.5000  2 Sn 2.86
In 0.5000 0.0000 0.5000  2 Sn 2.86
Si 0.5000 0.5000 0.0000  2 Sn 2.66
Sn 0.5000 0.5000 0.5000  2 Si 2.66, 4 In 2.86

Output
The calculation puts the total energy at -15.6 eV per formula unit. The calculation puts the uncorrected formation energy at 238.2 meV per atom. For the density of states at the Fermi level, the calculation gives 3.44 states/eV/cell.

---

The following is a PBE calculation of a geometry-optimized Y3ScTl3S8 structure, from Alexandria.

Unit cell a=7.9467 b=7.9467 c=8.6713 alpha=117.32 beta=117.32 gamma=60.00
With the nearest neighbours (Å) after each atom.
Positions (direct):
Y 0.0000 0.0000 0.0000  6 S 2.74-2.75
Y 0.0000 0.5000 0.0000  6 S 2.74-2.75
Y 0.5000 0.0000 0.0000  6 S 2.74-2.75
Sc 0.5000 0.5000 0.0000  6 S 2.62-2.63
Tl 0.0000 0.5000 0.5000  6 S 3.16-3.17
Tl 0.5000 0.0000 0.5000  6 S 3.16-3.17
Tl 0.5000 0.5000 0.5000  6 S 3.16-3.17
S 0.2346 0.2346 0.2037  3 Y 2.74
S 0.2463 0.7248 0.1957  1 Sc 2.63, 2 Y 2.75
S 0.2753 0.2753 0.8043  1 Sc 2.62, 2 Y 2.75
S 0.2752 0.7537 0.8043  1 Sc 2.63, 2 Y 2.75
S 0.7248 0.2463 0.1957  1 Sc 2.63, 2 Y 2.75
S 0.7247 0.7247 0.1957  1 Sc 2.62, 2 Y 2.75
S 0.7537 0.2752 0.8043  1 Sc 2.63, 2 Y 2.75
S 0.7654 0.7654 0.7963  3 Y 2.74

Output
The calculation puts the total energy at -87.8 eV per formula unit. The calculation puts the uncorrected formation energy at -1466.4 meV per atom. For the density of states at the Fermi level, the calculation gives 5.73 states/eV/cell.